Compound: CdCo3N
Source: OQMD
Functional: PBE
Structure: optimized geometry

Values from the calculation:
The value obtained for the calculated total energy is -30.2 eV for the cell shown. For the calculated volume, the calculation gives 57 Å³ per cell. As for the size of the total moment: 0.1 μB/f.u.

The structure in CIF format:
```
data_CdCo3N
_chemical_formula_sum 'Cd1 Co3 N1'
_space_group_name_H-M_alt 'P m -3 m'
_space_group_IT_number 221
_space_group_name_Hall '-P 4 2 3'
_cell_length_a 3.838
_cell_length_b 3.838
_cell_length_c 3.838
_cell_angle_alpha 90.00
_cell_angle_beta 90.00
_cell_angle_gamma 90.00
loop_
_atom_site_label
_atom_site_type_symbol
_atom_site_fract_x
_atom_site_fract_y
_atom_site_fract_z
Cd1 Cd 0.000 0.000 0.000
Co1 Co 0.000 0.500 0.500
N1 N 0.500 0.500 0.500
```